Crystalline NiH24C2S2N6O14 at its relaxed geometry. Source: Alexandria via LeMat-Bulk, functional GGA+U.

For the density of states at the Fermi level, the calculation gives 0.0000 states/eV/atom. Its space-group type is No. 14. For the total energy, the calculation gives -5.55 eV per atom.

The structure in extended XYZ format:
```
98
Lattice="10.420 0.000 0.000 0.000 7.553 0.000 -1.497 0.000 11.917" Properties=species:S:1:pos:R:3 pbc="T T T"
Ni 0.000 0.000 0.000
Ni -0.748 3.776 5.958
H -0.565 1.215 5.476
H -1.313 2.562 11.434
H -0.186 0.072 2.743
H -0.934 3.704 8.701
H -0.561 1.216 9.772
H 0.188 2.560 3.814
H -0.354 5.188 11.502
H 0.394 6.141 5.544
H 2.160 0.323 1.549
H 1.411 3.454 7.507
H 2.415 1.007 0.143
H 1.666 2.770 6.102
H 3.344 5.136 1.003
H 2.595 6.193 6.961
H 2.966 5.016 4.500
H 2.218 6.313 10.459
H 2.533 5.202 8.420
H 3.281 6.127 2.461
H 2.528 0.472 10.560
H 3.277 3.305 4.602
H 2.971 0.922 7.098
H 3.720 2.855 1.140
H 2.795 1.724 8.639
H 3.543 2.053 2.681
H 5.380 5.500 9.236
H 6.128 5.829 3.278
H 5.203 4.698 10.777
H 5.952 6.631 4.818
H 5.646 4.248 7.315
H 6.395 7.081 1.356
H 5.642 1.426 9.455
H 6.390 2.351 3.497
H 6.705 1.240 1.458
H 5.957 2.537 7.416
H 6.328 1.360 4.955
H 5.579 2.417 10.914
H 7.257 4.783 5.815
H 6.508 6.546 11.773
H 7.512 4.099 4.410
H 6.763 7.230 10.368
H 8.529 1.411 6.372
H 9.277 2.365 0.414
H 8.736 4.993 8.102
H 9.484 6.337 2.144
H 9.857 3.849 3.216
H 9.109 7.481 9.174
H 10.236 4.991 0.483
H 9.488 6.338 6.441
C 3.493 4.109 2.757
C 2.745 7.220 8.715
C 6.178 0.333 3.201
C 5.430 3.444 9.159
S 2.023 0.443 4.436
S 1.274 3.334 10.394
S 7.649 4.219 1.522
S 6.900 7.110 7.480
N 3.451 5.221 2.016
N 2.703 6.108 7.974
N 3.400 4.182 4.094
N 2.652 7.147 10.053
N 2.942 0.852 8.121
N 3.690 2.925 2.163
N 5.233 4.628 9.754
N 5.981 6.701 3.795
N 6.271 0.406 1.864
N 5.523 3.370 7.822
N 6.220 1.445 3.942
N 5.472 2.332 9.900
O -1.281 5.507 11.659
O -0.533 5.823 5.700
O -0.815 0.280 9.959
O -0.067 3.496 4.001
O 0.609 0.825 4.091
O -0.139 2.951 10.049
O 2.005 0.214 0.575
O 1.257 3.563 6.534
O 1.274 4.646 11.107
O 2.022 6.683 5.148
O 2.822 0.329 3.178
O 2.074 3.447 9.137
O 2.622 1.498 5.310
O 1.873 2.279 11.268
O 7.050 5.274 0.648
O 6.301 6.055 6.606
O 6.849 4.106 2.780
O 6.101 7.224 8.738
O 6.901 0.870 6.768
O 7.649 2.907 0.810
O 7.666 3.990 5.383
O 6.918 7.339 11.341
O 9.062 4.602 1.868
O 8.314 6.727 7.826
O 8.990 4.056 7.915
O 9.738 7.273 1.957
O 9.456 1.730 6.216
O 10.204 2.046 0.258
```